#a
An optimized crystal structure of BeNbAu3, computed with GGA-PBE.

Calculated values
total magnetization	1.37	μB/f.u.
crystal system	cubic
space group	Pm-3m

abc: 4.419 4.419 4.419
angles: 90.00 90.00 90.00
Fractional positions:
Be  0.000  0.000  0.000
Nb  0.500  0.500  0.500
Au  0.000  0.000  0.500
Au  0.000  0.500  0.000
Au  0.500  0.000  0.000

---

#b
An optimized crystal structure of BeNbAu3, computed with GGA-PBE.

Calculated values
total magnetization	0.00	μB/f.u.
crystal system	cubic
space group	Pm-3m

abc: 5.149 5.149 5.149
angles: 90.00 90.00 90.00
Fractional positions:
Be  0.000  0.000  0.000
Nb  0.500  0.500  0.500
Au  0.000  0.500  0.500
Au  0.500  0.000  0.500
Au  0.500  0.500  0.000

---

#a comes first in stability; the runner-up is 1105 meV per atom higher.

---

#a
An optimized crystal structure of NdBeAu3, computed with GGA-PBE.

Calculated values
total magnetization	0.00	μB/f.u.
crystal system	cubic
space group	Pm-3m

abc: 4.628 4.628 4.628
angles: 90.00 90.00 90.00
Fractional positions:
Nd  0.000  0.000  0.000
Be  0.500  0.500  0.500
Au  0.000  0.500  0.500
Au  0.500  0.000  0.500
Au  0.500  0.500  0.000

---

#b
An optimized crystal structure of NdBeAu3, computed with GGA-PBE.

Calculated values
total magnetization	0.00	μB/f.u.
crystal system	monoclinic
space group	Cm

abc: 4.337 4.337 6.035
angles: 110.90 110.90 90.03
Fractional positions:
Nd  0.000  0.000  0.000
Be  0.366  0.366  0.733
Au  0.270  0.770  0.538
Au  0.584  0.584  0.167
Au  0.770  0.270  0.538

---

#b comes first in stability; the runner-up is 79 meV per atom higher.